Record 1
Here is a geometry-optimized La2CrSi structure from Alexandria. Energies are from PBE.

a b c (Å): 4.9302 4.9302 4.1745
angles (deg): 90.00 90.00 89.96
Fractional coordinates of all 4 atoms:
Cr: 0.0000 0.5000 0.5000
La: 0.0000 0.0000 0.0000
La: 0.5000 0.5000 0.0000
Si: 0.5000 0.0000 0.5000

Summary:
Final energy in eV per atom: -6.270
D(E_F) in states/eV per atom: 0.66

Record 2
Here is a geometry-optimized TaTeW structure from Alexandria. Energies are from PBE.

a b c (Å): 3.3742 3.1820 12.7035
angles (deg): 90.00 90.00 122.02
Fractional coordinates of all 6 atoms:
Ta: 0.6465 0.2929 0.0000
Ta: 0.1398 0.2797 0.5000
W: 0.6392 0.2785 0.3339
W: 0.6392 0.2785 0.6661
Te: 0.3009 0.6018 0.8301
Te: 0.3009 0.6018 0.1699

Summary:
Final energy in eV per atom: -8.821
D(E_F) in states/eV per atom: 0.72

Record 3
Here is a geometry-optimized Mg2CdCo structure from Alexandria. Energies are from PBE.

a b c (Å): 3.1020 3.1020 7.2743
angles (deg): 90.00 90.00 90.00
Fractional coordinates of all 4 atoms:
Cd: 0.5000 0.5000 0.2500
Co: 0.5000 0.5000 0.7500
Mg: 0.0000 0.0000 0.9503
Mg: 0.0000 0.0000 0.5497

Summary:
Final energy in eV per atom: -2.769
ΔH_f (0 K) in eV per atom: 0.033
D(E_F) in states/eV per atom: 0.80

Record 4
Here is a geometry-optimized Na5PdAu6 structure from Alexandria. Energies are from PBE.

a b c (Å): 9.9848 5.2237 5.1768
angles (deg): 59.70 85.19 80.43
Fractional coordinates of all 12 atoms:
Na: 0.5000 0.1681 0.6637
Na: 0.0000 0.6667 0.6665
Na: 0.0000 0.3333 0.3335
Na: 0.5000 0.5000 0.0000
Na: 0.5000 0.8319 0.3363
Au: 0.7535 0.7574 0.0000
Au: 0.7536 0.0812 0.3267
Au: 0.2464 0.5922 0.3267
Au: 0.2464 0.9188 0.6733
Au: 0.7536 0.4078 0.6733
Au: 0.2465 0.2426 0.0000
Pd: 0.0000 0.0000 0.0000

Summary:
Final energy in eV per atom: -2.785
ΔH_f (0 K) in eV per atom: -0.164
D(E_F) in states/eV per atom: 0.22

Record 5
Here is a geometry-optimized SiP structure from Alexandria. Energies are from PBE.

a b c (Å): 7.3011 7.3011 7.3011
angles (deg): 90.00 90.00 90.00
Fractional coordinates of all 16 atoms:
Si: 0.1490 0.1490 0.1490
Si: 0.1490 0.8510 0.8510
Si: 0.8510 0.1490 0.8510
Si: 0.8510 0.8510 0.1490
Si: 0.6490 0.6490 0.6490
Si: 0.6490 0.3510 0.3510
Si: 0.3510 0.6490 0.3510
Si: 0.3510 0.3510 0.6490
P: 0.3317 0.3317 0.3317
P: 0.3317 0.6683 0.6683
P: 0.6683 0.3317 0.6683
P: 0.6683 0.6683 0.3317
P: 0.8317 0.8317 0.8317
P: 0.8317 0.1683 0.1683
P: 0.1683 0.8317 0.1683
P: 0.1683 0.1683 0.8317

Summary:
Final energy in eV per atom: -5.047
D(E_F) in states/eV per atom: 0.58

Record 6
Here is a geometry-optimized HRhO2 structure from Alexandria. Energies are from PBE.

a b c (Å): 8.2988 8.2988 3.8940
angles (deg): 90.00 90.00 160.17
Fractional coordinates of all 8 atoms:
H: 0.2493 0.7507 0.2500
H: 0.7507 0.2493 0.7500
Rh: 0.0732 0.9268 0.2500
Rh: 0.9268 0.0732 0.7500
O: 0.1898 0.8102 0.2500
O: 0.8102 0.1898 0.7500
O: 0.9546 0.0454 0.2500
O: 0.0454 0.9546 0.7500

Summary:
Final energy in eV per atom: -5.529
D(E_F) in states/eV per atom: 0.72

Record 7
Here is a geometry-optimized Sm3ScAl2 structure from Alexandria. Energies are from PBE.

a b c (Å): 6.4840 6.4528 9.1573
angles (deg): 110.63 110.73 90.00
Fractional coordinates of all 12 atoms:
Sm: 0.4246 0.6764 0.3528
Sm: 0.5754 0.3236 0.6472
Sm: 0.0718 0.8236 0.6472
Sm: 0.9282 0.1764 0.3528
Sm: 0.5000 0.7500 0.0000
Sm: 0.5000 0.2500 0.0000
Sc: 0.0000 0.2500 0.0000
Sc: 0.0000 0.7500 0.0000
Al: 0.3616 0.1282 0.2564
Al: 0.6384 0.8718 0.7436
Al: 0.1052 0.3718 0.7436
Al: 0.8948 0.6282 0.2564

Summary:
Final energy in eV per atom: -4.850
ΔH_f (0 K) in eV per atom: -0.188
D(E_F) in states/eV per atom: 1.47

Record 8
Here is a geometry-optimized Pm6Tl5Sb structure from Alexandria. Energies are from PBE.

a b c (Å): 5.1896 9.2411 9.2411
angles (deg): 113.81 106.31 106.31
Fractional coordinates of all 12 atoms:
Sb: 0.0000 0.0000 0.0000
Tl: 0.5000 0.1791 0.8209
Tl: 0.0000 0.3367 0.6633
Tl: 0.5000 0.5000 0.5000
Tl: 0.0000 0.6633 0.3367
Tl: 0.5000 0.8209 0.1791
Pm: 0.2442 0.0806 0.4081
Pm: 0.7558 0.5919 0.9194
Pm: 0.7417 0.2417 0.2417
Pm: 0.2583 0.7583 0.7583
Pm: 0.2442 0.4081 0.0806
Pm: 0.7558 0.9194 0.5919

Summary:
Final energy in eV per atom: -4.177
D(E_F) in states/eV per atom: 0.71

Record 9
Here is a geometry-optimized CsCdH structure from Alexandria. Energies are from PBE.

a b c (Å): 4.2678 5.1180 8.7695
angles (deg): 90.00 76.03 90.00
Fractional coordinates of all 6 atoms:
Cs: 0.3459 0.2500 0.3108
Cs: 0.6541 0.7500 0.6892
Cd: 0.0366 0.2500 0.9250
Cd: 0.9634 0.7500 0.0750
H: 0.1512 0.2501 0.6942
H: 0.8488 0.7499 0.3058

Summary:
Final energy in eV per atom: -1.801
D(E_F) in states/eV per atom: 0.17

Record 10
Here is a geometry-optimized NaPt structure from Alexandria. Energies are from PBE.

a b c (Å): 2.8051 4.9291 5.3356
angles (deg): 90.00 90.00 90.00
Fractional coordinates of all 4 atoms:
Na: 0.0000 0.0000 0.0387
Na: 0.0000 0.5000 0.2946
Pt: 0.5000 0.0000 0.5717
Pt: 0.5000 0.5000 0.7617

Summary:
Final energy in eV per atom: -3.743
ΔH_f (0 K) in eV per atom: -0.063
D(E_F) in states/eV per atom: 0.62

Record 11
Here is a geometry-optimized LiTi2Rh6 structure from Alexandria. Energies are from PBE.

a b c (Å): 4.1418 5.7541 6.9574
angles (deg): 114.43 107.41 90.00
Fractional coordinates of all 9 atoms:
Li: 0.0000 0.0000 0.0000
Ti: 0.6599 0.6621 0.3243
Ti: 0.3401 0.3379 0.6757
Rh: 0.1639 0.4143 0.3302
Rh: 0.8361 0.0841 0.6698
Rh: 0.8361 0.5857 0.6698
Rh: 0.5000 0.2337 0.0000
Rh: 0.1639 0.9159 0.3302
Rh: 0.5000 0.7663 0.0000

Summary:
Final energy in eV per atom: -6.943
ΔH_f (0 K) in eV per atom: -0.075
D(E_F) in states/eV per atom: 1.02

Record 12
Here is a geometry-optimized LaNdCuSi structure from Alexandria. Energies are from PBE.

a b c (Å): 4.2601 4.1802 5.9807
angles (deg): 90.00 110.86 90.00
Fractional coordinates of all 4 atoms:
La: 0.8536 0.5000 0.7072
Nd: 0.1381 0.0000 0.2763
Cu: 0.4425 0.0000 0.8850
Si: 0.5658 0.5000 0.1316

Summary:
Final energy in eV per atom: -5.261
D(E_F) in states/eV per atom: 1.16